First-principles (SCAN) data for a crystal of AlHgW relaxed with PBEsol, as listed in Alexandria.

Unit cell a=2.868 b=3.564 c=5.438 alpha=109.13 beta=105.29 gamma=90.00
Element x y z (fractional)
1 W 0.650 0.650 0.300
2 Hg 0.338 0.338 0.676
3 Al 0.012 0.012 0.024

## Properties
E above lowest polymorph in eV per atom: 0.000
E_form in kJ/mol of atoms: 51.16
Final energy in eV/atom: -48.005

---

First-principles (SCAN) data for a crystal of ZnPO2F relaxed with PBEsol, as listed in Alexandria.

Unit cell a=3.312 b=4.324 c=4.324 alpha=90.00 beta=90.00 gamma=90.00
Element x y z (fractional)
1 Zn 0.500 0.500 0.500
2 F 0.000 0.000 0.000
3 O 0.000 0.500 0.000
4 O 0.000 0.000 0.500
5 P 0.500 0.000 0.000

## Properties
Energy relative to the elements, uncorrected in eV/atom: 0.718
Final energy in eV/atom: -7.265

---

First-principles (SCAN) data for a crystal of Sc2NiPd relaxed with PBEsol, as listed in Alexandria.

Unit cell a=4.529 b=4.529 c=4.529 alpha=60.00 beta=60.00 gamma=60.00
Element x y z (fractional)
1 Pd 0.500 0.500 0.500
2 Ni 0.000 0.000 0.000
3 Sc 0.250 0.250 0.250
4 Sc 0.750 0.750 0.750

## Properties
E_form in kJ/mol of atoms: -72.66
Final energy in eV/atom: -20.109